# 1
A relaxed MnAg2Se crystal, computed with GGA-PBE.

The value obtained for the energy relative to the elements, uncorrected is 0.314 eV per formula unit. The calculated volume is 220.1 Å³ per cell.

The structure belongs to space group R3m (No. 160, hexagonal axes); the cell edges are 3.1431, 3.1431 and 25.7254 Å and the angles 90.00°, 90.00° and 120.00°. The asymmetric unit holds Mn at (0.0000, 0.0000, 0.0000), Ag at (0.0000, 0.0000, 0.5023), Ag at (0.0000, 0.0000, 0.7477) and Se at (0.0000, 0.0000, 0.2716).

---

# 2
A relaxed PrHo8Sc3 crystal, computed with GGA-PBE.

The value obtained for the calculated formation energy is 0.3983 eV/atom. The calculated volume is 786.3 Å³ per cell.

The structure belongs to space group Immm (No. 71); the cell edges are 6.3763, 10.9180 and 11.2946 Å and the angles 90.00°, 90.00° and 90.00°. The asymmetric unit holds Pr at (0.0000, 0.0000, 0.0000), Ho at (0.0000, 0.1653, 0.2531), Ho at (0.2348, 0.2786, 0.0000), Sc at (0.0000, 0.0000, 0.5000) and Sc at (0.0000, 0.5000, 0.2143).

---

# 3
A relaxed LaCeIr crystal, computed with GGA-PBE.

The energy above the most stable polymorph in this dataset comes out at 0.000 eV per atom. The value obtained for the calculated formation energy is -0.5385 eV/atom. The calculated volume is 354.6 Å³ per cell.

The structure belongs to space group P2_1/c (No. 14); the cell edges are 6.0586, 8.5883 and 7.4719 Å and the angles 90.00°, 114.21° and 90.00°. The asymmetric unit holds La at (0.2329, 0.1288, 0.4823), Ce at (0.2545, 0.6198, 0.5135) and Ir at (0.4789, 0.6259, 0.2526).

---

# 4
A relaxed SrAl3Au crystal, computed with GGA-PBE.

The value obtained for the calculated formation energy is 0.0093 eV/atom. The calculated volume is 126.5 Å³ per cell.

The structure belongs to space group Pm-3m (No. 221); the cell edges are 5.0203, 5.0203 and 5.0203 Å and the angles 90.00°, 90.00° and 90.00°. The asymmetric unit holds Sr at (0.0000, 0.0000, 0.0000), Al at (0.0000, 0.5000, 0.5000) and Au at (0.5000, 0.5000, 0.5000).

---

# 5
A relaxed GeIr crystal, computed with GGA-PBE.

The value obtained for the calculated formation energy is 0.1877 eV/atom. The calculated volume is 422.3 Å³ per cell.

The structure belongs to space group I-43m (No. 217); the cell edges are 7.5028, 7.5028 and 7.5028 Å and the angles 90.00°, 90.00° and 90.00°. The asymmetric unit holds Ge at (0.1875, 0.1875, 0.1875) and Ir at (0.1322, 0.1322, 0.8678).

---

# 6
A relaxed RbCoN crystal, computed with GGA-PBE.

The energy above the most stable polymorph in this dataset comes out at 0.000 eV per atom. The value obtained for the energy relative to the elements, uncorrected is -0.185 eV per formula unit. The calculated volume is 356.0 Å³ per cell.

The structure belongs to space group P2_1/c (No. 14); the cell edges are 10.1029, 6.0755 and 6.0748 Å and the angles 90.00°, 107.29° and 90.00°. The asymmetric unit holds Rb at (0.2401, 0.9999, 0.1187), Co at (0.0000, 0.1323, 0.3676) and N at (0.0000, 0.1631, 0.6631).

---

# 7
A relaxed K2CaInI5 crystal, computed with GGA-PBE.

The value obtained for the energy relative to the elements, uncorrected is -11.403 eV per formula unit. The calculated volume is 1676.5 Å³ per cell.

The structure belongs to space group Cmc2_1 (No. 36); the cell edges are 4.7530, 20.9172 and 16.8625 Å and the angles 90.00°, 90.00° and 90.00°. The asymmetric unit holds K at (0.0000, 0.0673, 0.0000), K at (0.0000, 0.1274, 0.6618), Ca at (0.0000, 0.2464, 0.3981), In at (0.0000, 0.4374, 0.8046), I at (0.0000, 0.1006, 0.4376), I at (0.0000, 0.2365, 0.0241), I at (0.0000, 0.2763, 0.7728), I at (0.0000, 0.3914, 0.3486) and I at (0.0000, 0.4943, 0.1210).

---

# 8
A relaxed HfMgGa2 crystal, computed with GGA-PBE.

The value obtained for the calculated formation energy is -0.2557 eV/atom. The calculated volume is 73.9 Å³ per cell.

The structure belongs to space group P4/mmm (No. 123); the cell edges are 3.1941, 3.1941 and 7.2409 Å and the angles 90.00°, 90.00° and 90.00°. The asymmetric unit holds Hf at (0.0000, 0.0000, 0.0000), Mg at (0.0000, 0.0000, 0.5000) and Ga at (0.5000, 0.5000, 0.2541).

---

> What is the calculated volume in the eighth record?

73.9 Å³ per cell

---

Copy entry 8 word for word.
A relaxed HfMgGa2 crystal, computed with GGA-PBE.

The value obtained for the calculated formation energy is -0.2557 eV/atom. The calculated volume is 73.9 Å³ per cell.

The structure belongs to space group P4/mmm (No. 123); the cell edges are 3.1941, 3.1941 and 7.2409 Å and the angles 90.00°, 90.00° and 90.00°. The asymmetric unit holds Hf at (0.0000, 0.0000, 0.0000), Mg at (0.0000, 0.0000, 0.5000) and Ga at (0.5000, 0.5000, 0.2541).

---

> The lowest calculated volume belongs to which entry?

HfMgGa2